! Ca3Pm3ErSe8 PBE relaxed; values from VASP
&SYSTEM
  ibrav = 0, nat = 15, ntyp = 4
/
ATOMIC_SPECIES
Er 167.26 Er.upf
Ca 40.08 Ca.upf
Se 78.96 Se.upf
Pm 145.00 Pm.upf
CELL_PARAMETERS angstrom
8.335 0.000 0.000
-4.168 7.217 -0.026
0.000 -4.789 6.911
ATOMIC_POSITIONS angstrom
Er 0.000 -2.394 3.456
Ca 0.000 0.000 0.000
Ca 2.084 3.609 -0.013
Ca -2.084 3.609 -0.013
Se 2.026 -1.230 1.776
Se 0.000 2.411 1.689
Se -2.141 3.659 5.108
Se 4.168 2.477 1.761
Se 0.000 -0.048 5.123
Se 6.309 -1.230 1.776
Se 2.141 3.659 5.108
Se 4.168 0.018 5.195
Pm 4.168 -2.394 3.456
Pm -2.084 1.214 3.442
Pm 2.084 1.214 3.442
! Formation energy without anion corrections   -1.928 eV/atom
! DOS at the Fermi energy   4.383 states/eV per cell
! Total magnetic moment   0.00 μB/f.u.
! VASP energy   -5.441 eV/atom
! Calculated volume   414.7 Å³/cell
! Space group   R-3m, No. 166